# 1
Computed, not measured: a relaxed structure of Mg2ZrRe at the PBE level of DFT.

Geometry as extended XYZ:
```
4
Lattice="-0.594 5.367 1.720 -2.389 -1.842 -4.797 -2.644 -0.216 0.967" Properties=species:S:1:pos:R:3 pbc="T T T"
Mg 0.000 0.000 0.000
Mg -1.492 1.762 -1.539
Re -1.619 2.576 1.343
Zr -2.517 -1.029 -1.915
```

Output
Crystal system   monoclinic
Excess energy over the best structure of this formula in the dataset   136 meV per atom
Calculated density   7.3 Mg/m³
E_form   0.95 eV per formula unit
Electronic total energy   -5.809 eV/atom
M_tot   0.00 μB per formula unit

# 2
Computed, not measured: a relaxed structure of ScTeS3 at the PBE level of DFT.

Geometry as extended XYZ:
```
10
Lattice="-1.471 3.209 1.127 -5.233 -3.270 2.483 4.573 -1.044 8.943" Properties=species:S:1:pos:R:3 pbc="T T T"
S -0.216 -0.378 9.937
S 0.592 -0.501 5.248
S -5.261 -0.729 4.350
S 3.131 -0.375 8.203
S -1.914 -0.726 2.616
S -2.723 -0.603 7.305
Sc 0.339 -2.607 10.917
Sc -2.470 1.503 1.636
Te -3.149 -2.296 5.479
Te 1.019 1.193 7.074
```

Output
Crystal system   monoclinic
Formation energy from raw total energies   -0.850 eV/atom
Excess energy over the best structure of this formula in the dataset   0 meV per atom
Calculated density   3.6 Mg/m³
Electronic total energy   -5.221 eV/atom
M_tot   0.00 μB per formula unit

# 3
Computed, not measured: a relaxed structure of PmDyTcHg at the PBE level of DFT.

Geometry as extended XYZ:
```
4
Lattice="-2.818 -4.245 0.246 2.152 -4.543 -0.867 0.665 -3.283 3.847" Properties=species:S:1:pos:R:3 pbc="T T T"
Dy 0.000 0.000 0.000
Hg -0.001 -9.054 2.419
Tc 0.000 -3.018 0.806
Pm -0.001 -6.036 1.613
```

Output
Crystal system   cubic
Calculated density   10.7 Mg/m³
E_form   -0.41 eV per formula unit
Electronic total energy   -5.107 eV/atom
M_tot   0.00 μB per formula unit

# 4
Computed, not measured: a relaxed structure of CaTlPdAu at the PBE level of DFT.

Geometry as extended XYZ:
```
4
Lattice="4.944 0.000 0.000 2.472 4.282 0.000 2.472 1.427 4.037" Properties=species:S:1:pos:R:3 pbc="T T T"
Ca 2.472 1.427 1.009
Tl 7.416 4.282 3.028
Au 0.000 0.000 0.000
Pd 4.944 2.855 2.018
```

Output
Crystal system   cubic
Calculated density   10.6 Mg/m³
E_form   -1.86 eV per formula unit
Electronic total energy   -3.674 eV/atom
M_tot   0.00 μB per formula unit

# 5
Computed, not measured: a relaxed structure of Ba2CaCuSb2F14 at the PBE level of DFT.

Geometry as extended XYZ:
```
40
Lattice="-2.830 -6.020 -3.863 2.053 -7.210 -1.726 -7.393 -5.609 13.767" Properties=species:S:1:pos:R:3 pbc="T T T"
F -3.410 -6.876 -1.191
F -6.550 -14.835 8.170
F -4.292 -7.058 7.341
F -1.031 -6.817 1.966
F -4.433 -12.947 6.571
F -3.500 -10.560 7.271
F -2.791 -8.710 5.303
F -7.111 -9.041 7.807
F -6.137 -10.247 11.791
F -1.621 -4.004 0.008
F -5.426 -9.556 5.516
F -1.737 -5.262 -2.737
F -4.671 -8.279 0.907
F -7.139 -12.021 6.212
F -6.434 -13.577 10.915
F -3.737 -5.892 1.608
F -4.880 -9.319 9.610
F -3.298 -11.989 4.336
F -1.060 -9.798 0.372
F -4.873 -6.850 3.842
F -0.637 -7.017 -0.890
F -5.379 -10.128 2.875
F -7.533 -11.821 9.069
F -4.760 -11.962 9.370
F -2.034 -8.591 -3.612
F -3.291 -9.520 -1.431
F -3.879 -11.780 0.838
F -2.745 -9.283 2.663
Ca -5.721 -10.873 7.624
Ca -2.450 -7.965 0.554
Cu -0.389 -6.615 -2.794
Cu -4.085 -9.419 4.089
Ba -6.276 -7.372 11.342
Ba -4.815 -14.461 4.059
Ba -1.895 -11.467 -3.164
Ba -3.355 -4.378 4.119
Sb -4.552 -5.082 8.053
Sb -3.619 -13.757 0.125
Sb -6.977 -16.644 7.157
Sb -1.194 -2.195 1.021
```

Output
Crystal system   monoclinic
Formation energy from raw total energies   -2.924 eV/atom
Calculated density   4.5 Mg/m³
Electronic total energy   -5.144 eV/atom
M_tot   1.05 μB per formula unit

# 6
Computed, not measured: a relaxed structure of Er2BOs at the PBE level of DFT.

Geometry as extended XYZ:
```
16
Lattice="5.888 0.000 0.000 0.000 6.880 0.080 0.000 -3.011 7.683" Properties=species:S:1:pos:R:3 pbc="T T T"
Os 3.275 3.928 3.780
Os 2.614 -0.058 3.983
Os 5.558 0.488 3.740
Os 0.330 3.382 4.024
Er 1.548 1.748 1.884
Er 4.492 -1.319 5.839
Er 4.340 2.122 5.879
Er 4.552 3.325 1.467
Er 1.608 3.985 6.336
Er 1.396 5.188 1.925
Er 1.337 0.545 6.296
Er 4.281 -0.115 1.427
B 0.774 -1.312 4.327
B 2.170 2.128 4.367
B 5.114 5.181 3.437
B 3.718 1.741 3.396
```

Output
Crystal system   monoclinic
Calculated density   11.4 Mg/m³
E_form   -1.08 eV per formula unit
Electronic total energy   -7.027 eV/atom
M_tot   0.01 μB per formula unit

# 7
Computed, not measured: a relaxed structure of TaV3W at the PBE level of DFT.

Geometry as extended XYZ:
```
5
Lattice="4.529 0.000 0.000 0.000 4.529 0.000 0.000 0.000 4.529" Properties=species:S:1:pos:R:3 pbc="T T T"
V 0.000 0.000 2.264
V 2.264 0.000 0.000
V 0.000 2.264 0.000
Ta 2.264 2.264 2.264
W 0.000 0.000 0.000
```

Output
Crystal system   cubic
Excess energy over the best structure of this formula in the dataset   1442 meV per atom
Calculated density   9.3 Mg/m³
E_form   7.14 eV per formula unit
Electronic total energy   -9.004 eV/atom
M_tot   0.91 μB per formula unit

Repeat the third record exactly.
Computed, not measured: a relaxed structure of PmDyTcHg at the PBE level of DFT.

Geometry as extended XYZ:
```
4
Lattice="-2.818 -4.245 0.246 2.152 -4.543 -0.867 0.665 -3.283 3.847" Properties=species:S:1:pos:R:3 pbc="T T T"
Dy 0.000 0.000 0.000
Hg -0.001 -9.054 2.419
Tc 0.000 -3.018 0.806
Pm -0.001 -6.036 1.613
```

Output
Crystal system   cubic
Calculated density   10.7 Mg/m³
E_form   -0.41 eV per formula unit
Electronic total energy   -5.107 eV/atom
M_tot   0.00 μB per formula unit

Which value of M_tot does entry 5 give? 1.05 μB per formula unit

M_tot of number 5 (Ba2CaCuSb2F14)? 1.05 μB per formula unit

Look up the electronic total energy of the fifth one. -5.144 eV/atom